# 1
ReTc2Mo: relaxed, PBE.

Summary:
The formation energy comes out at 123.2 meV per atom. The density of states at the Fermi level is 1.136 states/eV per atom. The calculation puts the electronic total energy at -10.88 eV/atom. For the size of the total moment, the calculation gives 0.002 Bohr magnetons per cell. For the offset from the most stable computed form, the calculation gives 13 meV/atom. The calculation puts the calculated density at 13.2 g/cm3. The calculation puts the volume at 120 Å³/cell. As for the crystal system: tetragonal.

Geometry as CIF:
```
data_ReTc2Mo
_space_group_name_H-M_alt 'I -4 m 2'
_space_group_IT_number 119
_space_group_name_Hall 'I -4 -2'
_cell_length_a 3.917
_cell_length_b 3.917
_cell_length_c 7.849
_cell_angle_alpha 90.00
_cell_angle_beta 90.00
_cell_angle_gamma 90.00
loop_
_atom_site_label
_atom_site_fract_x
_atom_site_fract_y
_atom_site_fract_z
Re1 0.000 0.000 0.000
Tc1 0.000 0.000 0.500
Tc2 0.000 0.500 0.750
Mo1 0.000 0.500 0.250
```

=====

# 2
ReTc2Mo: relaxed, PBE.

Summary:
The formation energy comes out at 117.1 meV per atom. The density of states at the Fermi level is 0.985 states/eV per atom. The calculation puts the electronic total energy at -10.89 eV/atom. For the size of the total moment, the calculation gives 0.000 Bohr magnetons per cell. For the offset from the most stable computed form, the calculation gives 7 meV/atom. The calculation puts the calculated density at 13.2 g/cm3. The calculation puts the volume at 120 Å³/cell. As for the crystal system: tetragonal.

Geometry as CIF:
```
data_ReTc2Mo
_space_group_name_H-M_alt 'I 4/m m m'
_space_group_IT_number 139
_space_group_name_Hall '-I 4 2'
_cell_length_a 3.925
_cell_length_b 3.925
_cell_length_c 7.816
_cell_angle_alpha 90.00
_cell_angle_beta 90.00
_cell_angle_gamma 90.00
loop_
_atom_site_label
_atom_site_fract_x
_atom_site_fract_y
_atom_site_fract_z
Re1 0.000 0.000 0.000
Tc1 0.000 0.500 0.250
Mo1 0.000 0.000 0.500
```

=====

# 3
Re2TcMo: relaxed, PBE.

Summary:
The formation energy comes out at 150.2 meV per atom. The density of states at the Fermi level is 0.871 states/eV per atom. The calculation puts the electronic total energy at -11.37 eV/atom. For the size of the total moment, the calculation gives 0.000 Bohr magnetons per cell. For the offset from the most stable computed form, the calculation gives 43 meV/atom. The calculation puts the calculated density at 15.5 g/cm3. The calculation puts the volume at 61 Å³/cell. As for the crystal system: monoclinic.

Geometry as CIF:
```
data_Re2TcMo
_space_group_name_H-M_alt 'P 1 2/m 1'
_space_group_IT_number 10
_cell_length_a 2.715
_cell_length_b 4.325
_cell_length_c 5.323
_cell_angle_alpha 90.00
_cell_angle_beta 103.16
_cell_angle_gamma 90.00
loop_
_space_group_symop_operation_xyz
'x,y,z'
'-x,-y,-z'
'-x,y,-z'
'x,-y,z'
loop_
_atom_site_label
_atom_site_fract_x
_atom_site_fract_y
_atom_site_fract_z
Re1 0.181 0.000 0.248
Tc1 0.500 0.500 0.000
Mo1 0.000 0.500 0.500
```